A relaxed RbTl3 crystal, computed with PBE.

space group = I4/mmm
theoretical density = 8.45 g cm⁻³
energy of formation = -0.01 eV/atom
E_tot = -8.1 eV per cell

```
RbTl3
1.0
-2.8564 2.8564 4.2054
2.8564 -2.8564 4.2054
2.8564 2.8564 -4.2054
Rb Tl
1 3
Cartesian
0.0000 0.0000 0.0000 Rb
2.8564 0.0000 2.1027 Tl
0.0000 0.0000 4.2054 Tl
0.0000 2.8564 2.1027 Tl
```

---

A relaxed BaBeOs2 crystal, computed with PBE.

space group = Cmmm
theoretical density = 11.60 g cm⁻³
energy of formation = 1.61 eV/atom
E_tot = -21.7 eV per cell

```
BaBeOs2
1.0
2.6526 -4.8674 0.0000
2.6526 4.8674 0.0000
0.0000 0.0000 2.9198
Ba Be Os
1 1 2
Cartesian
0.0000 0.0000 0.0000 Ba
2.6526 0.0000 0.0000 Be
1.3263 2.4337 1.4599 Os
1.3263 -2.4337 1.4599 Os
```

---

A relaxed SrLiHo2Tl4 crystal, computed with PBE.

space group = R-3m
theoretical density = 9.24 g cm⁻³
energy of formation = -0.29 eV/atom
E_tot = -24.5 eV per cell

```
SrLiHo2Tl4
1.0
2.6586 1.5350 9.1181
-2.6586 1.5350 9.1181
0.0000 -3.0699 9.1181
Sr Li Ho Tl
1 1 2 4
Cartesian
0.0000 0.0000 0.0000 Sr
0.0000 0.0000 13.6771 Li
0.0000 0.0000 6.6474 Ho
0.0000 0.0000 20.7069 Ho
0.0000 0.0000 3.4918 Tl
0.0000 0.0000 10.5324 Tl
0.0000 0.0000 16.8219 Tl
0.0000 0.0000 23.8625 Tl
```

---

A relaxed BaCaSn crystal, computed with PBE.

space group = P4/nmm
theoretical density = 4.18 g cm⁻³
energy of formation = -0.67 eV/atom
E_tot = -19.9 eV per cell

```
BaCaSn
1.0
5.2670 0.0000 0.0000
0.0000 5.2670 0.0000
0.0000 0.0000 8.4802
Ba Ca Sn
2 2 2
Cartesian
1.3167 1.3167 1.2294 Ba
3.9502 3.9502 7.2508 Ba
1.3167 3.9502 4.2401 Ca
3.9502 1.3167 4.2401 Ca
1.3167 1.3167 6.1574 Sn
3.9502 3.9502 2.3228 Sn
```

---

A relaxed Y8Ho2Th crystal, computed with PBE.

energy above the most stable polymorph in this dataset = 0.000 eV/atom
space group = C2/m
theoretical density = 5.98 g cm⁻³
energy of formation = 0.03 eV/atom
E_tot = -67.9 eV per cell

```
Y8Ho2Th
1.0
9.1018 -2.5240 0.0000
9.1018 2.5240 0.0000
-2.0983 0.0000 7.7002
Y Ho Th
8 2 1
Cartesian
0.3358 0.0000 1.7900 Y
1.0396 0.0000 5.2462 Y
4.5739 0.0000 4.5545 Y
7.3443 0.0000 0.3666 Y
8.7610 0.0000 7.3337 Y
11.5314 0.0000 3.1457 Y
15.0657 0.0000 2.4540 Y
15.7695 0.0000 5.9102 Y
3.8680 0.0000 1.0399 Ho
12.2373 0.0000 6.6603 Ho
8.0527 0.0000 3.8501 Th
```

---

A relaxed TiInAu crystal, computed with PBE.

space group = C2/m
theoretical density = 10.58 g cm⁻³
energy of formation = -0.23 eV/atom
E_tot = -29.2 eV per cell

```
TiInAu
1.0
4.5184 -2.1031 0.0000
4.5184 2.1031 0.0000
-1.5542 0.0000 5.9392
Ti In Au
2 2 2
Cartesian
1.0295 0.0000 1.9518 Ti
6.4531 0.0000 3.9873 Ti
4.5184 0.0000 0.0000 In
3.7413 0.0000 2.9696 In
0.2087 0.0000 4.8452 Au
7.2740 0.0000 1.0940 Au
```

---

A relaxed CeSm crystal, computed with PBE.

energy above the most stable polymorph in this dataset = 0.175 eV/atom
space group = Pm-3m
theoretical density = 7.38 g cm⁻³
energy of formation = 0.27 eV/atom
E_tot = -10.1 eV per cell

```
CeSm
1.0
4.0282 0.0000 0.0000
0.0000 4.0282 0.0000
0.0000 0.0000 4.0282
Ce Sm
1 1
Cartesian
0.0000 0.0000 0.0000 Ce
2.0141 2.0141 2.0141 Sm
```

---

A relaxed CePr3Sm4Te8 crystal, computed with PBE.

space group = R-3m
theoretical density = 7.11 g cm⁻³
E_tot = -86.7 eV per cell
ΔE_f (raw) = -1.40 eV per atom

```
CePr3Sm4Te8
1.0
4.4761 2.5843 7.3488
-4.4761 2.5843 7.3488
0.0000 -5.1686 7.3488
Ce Pr Sm Te
1 3 4 8
Cartesian
0.0000 0.0000 0.0000 Ce
-2.2381 -1.2921 7.3488 Pr
-2.2381 1.2921 14.6975 Pr
0.0000 2.5843 7.3488 Pr
-4.4761 0.0000 11.0231 Sm
-2.2381 1.2921 3.6744 Sm
2.2381 1.2921 3.6744 Sm
0.0000 0.0000 11.0231 Sm
-2.2503 -1.2992 12.8189 Te
0.0000 0.0000 5.4593 Te
0.0000 -2.5984 9.2274 Te
-2.2503 1.2992 9.2274 Te
2.2503 -1.2992 12.8189 Te
0.0000 2.5984 12.8189 Te
0.0000 0.0000 16.5870 Te
2.2503 1.2992 9.2274 Te
```

---

A relaxed TbPu2Pt3 crystal, computed with PBE.

space group = Immm
theoretical density = 14.19 g cm⁻³
energy of formation = -0.85 eV/atom
E_tot = -56.5 eV per cell

```
TbPu2Pt3
1.0
-2.0508 2.8761 6.1111
2.0508 -2.8761 6.1111
2.0508 2.8761 -6.1111
Tb Pu Pt
1 2 3
Cartesian
0.0000 0.0000 0.0000 Tb
0.0000 0.0000 4.1023 Pu
0.0000 0.0000 8.1199 Pu
2.0508 0.0000 2.0782 Pt
0.0000 2.8761 0.0000 Pt
0.0000 2.8761 4.0329 Pt
```

---

A relaxed FeNi4Ge2 crystal, computed with PBE.

space group = R-3m
theoretical density = 8.17 g cm⁻³
energy of formation = -0.14 eV/atom
E_tot = -41.8 eV per cell

```
FeNi4Ge2
1.0
1.9938 1.1511 6.4362
-1.9938 1.1511 6.4362
0.0000 -2.3023 6.4362
Fe Ni Ge
1 4 2
Cartesian
0.0000 0.0000 0.0000 Fe
0.0000 0.0000 2.4722 Ni
0.0000 0.0000 7.4497 Ni
0.0000 0.0000 11.8590 Ni
0.0000 0.0000 16.8365 Ni
0.0000 0.0000 4.8554 Ge
0.0000 0.0000 14.4533 Ge
```

---

A relaxed Rb5H4 crystal, computed with PBE.

space group = I4/m
theoretical density = 2.49 g cm⁻³
E_tot = -19.1 eV per cell

```
Rb5H4
1.0
-4.8658 4.8658 3.0366
4.8658 -4.8658 3.0366
4.8658 4.8658 -3.0366
Rb H
5 4
Cartesian
0.0000 0.0000 0.0000 Rb
5.9505 1.8080 0.0000 Rb
1.8080 3.7812 0.0000 Rb
3.0579 1.0846 3.0366 Rb
-1.0846 3.0579 3.0366 Rb
2.9485 0.9907 0.0000 H
3.8752 -1.9173 3.0366 H
0.9907 6.7832 0.0000 H
1.9173 3.8752 3.0366 H
```

---

A relaxed KFe2Cu crystal, computed with PBE.

energy above the most stable polymorph in this dataset = 0.000 eV/atom
space group = Pmm2
theoretical density = 4.85 g cm⁻³
energy of formation = 0.59 eV/atom
E_tot = -19.7 eV per cell

```
KFe2Cu
1.0
2.9978 0.0000 0.0000
0.0000 3.0960 0.0000
0.0000 0.0000 7.9082
K Fe Cu
1 2 1
Cartesian
0.0000 0.0000 0.0000 K
0.0000 0.0000 3.9904 Fe
1.4989 1.5480 5.1208 Fe
1.4989 1.5480 2.5923 Cu
```